YAlIrO6 | PBE | optimized geometry

```
YAlIrO6
1.0
5.0680 0.0000 0.0000
-2.5340 4.3890 0.0000
0.0000 0.0000 9.8174
Y Al Ir O
2 2 2 12
direct
0.0000 0.0000 0.0000
0.0000 0.0000 0.5000
0.6667 0.3333 0.2500
0.3333 0.6667 0.7500
0.3333 0.6667 0.2500
0.6667 0.3333 0.7500
0.6410 0.6354 0.1426
0.9944 0.3590 0.1426
0.3590 0.9944 0.6426
0.0056 0.6410 0.8574
0.3646 0.3590 0.3574
0.9944 0.6354 0.3574
0.6354 0.9944 0.8574
0.6410 0.0056 0.3574
0.0056 0.3646 0.6426
0.3646 0.0056 0.1426
0.6354 0.6410 0.6426
0.3590 0.3646 0.8574
```

---

AlIrOs2 | PBE | optimized geometry

```
AlIrOs2
1.0
-5.3996 4.5831 -5.1391
-3.5284 3.8189 -7.0382
-5.6097 2.1096 -6.3758
Ir Os Al
1 2 1
direct
0.7526 0.7526 0.7526
0.9989 0.9989 0.9989
0.2495 0.2495 0.2495
0.4990 0.4990 0.4990
```

Values from the calculation:
Energy relative to the elements ... -12.77 kJ per mole of atoms

---

AlIr2Os | PBE | optimized geometry

```
AlIr2Os
1.0
3.7888 0.0000 0.0000
0.0000 3.8971 0.0000
0.0000 0.0000 3.8971
Ir Os Al
2 1 1
direct
0.0000 0.0000 0.0000
0.0000 0.5000 0.5000
0.5000 0.5000 0.0000
0.5000 0.0000 0.5000
```

Values from the calculation:
Energy relative to the elements ... -14.08 kJ per mole of atoms

---

AlIrOs2 | PBE | optimized geometry

```
AlIrOs2
1.0
4.6878 0.0020 0.0000
1.4795 4.4482 0.0000
-3.0836 -2.2251 2.7414
Ir Os Al
1 2 1
direct
0.7500 0.2500 0.5000
0.0000 0.0000 0.0000
0.2500 0.7500 0.5000
0.5000 0.5000 0.0000
```

Values from the calculation:
Energy relative to the elements ... -9.87 kJ per mole of atoms

---

AlIrOs2 | PBE | optimized geometry

```
AlIrOs2
1.0
4.4825 0.0000 0.0000
0.0000 4.4825 0.0000
0.0000 0.0000 2.8668
Ir Os Al
1 2 1
direct
0.0000 0.5000 0.5000
0.0000 0.0000 0.0000
0.5000 0.5000 0.0000
0.5000 0.0000 0.5000
```

Values from the calculation:
Energy relative to the elements ... 9.77 kJ per mole of atoms

---

Al5Ir4Os | PBE | optimized geometry

```
Al5Ir4Os
1.0
-2.0936 -1.9412 -0.9616
-0.4275 -0.9408 2.8299
-10.6425 10.5386 1.8961
Al Ir Os
5 4 1
direct
0.5000 0.5000 0.0952
0.5000 0.5000 0.2980
0.5000 0.5000 0.5000
0.5000 0.5000 0.7020
0.5000 0.5000 0.9048
0.0000 0.0000 0.2009
0.0000 0.0000 0.4003
0.0000 0.0000 0.5997
0.0000 0.0000 0.7991
0.0000 0.0000 0.0000
```

Values from the calculation:
Energy relative to the elements ... -83.72 kJ per mole of atoms

---

AlIr2Os | PBE | optimized geometry

```
AlIr2Os
1.0
-3.4478 -3.8200 -0.4148
1.6992 -4.6917 -1.3239
0.1587 3.8872 3.3935
Ir Os Al
2 1 1
direct
0.0213 0.0213 0.0000
0.4787 0.4787 0.0000
0.7500 0.2500 0.5000
0.2500 0.7500 0.5000
```

Values from the calculation:
Energy relative to the elements ... -10.73 kJ per mole of atoms

---

AlIrOs2 | PBE | optimized geometry

```
AlIrOs2
1.0
-0.6935 -2.4384 1.1719
2.3062 -1.1654 -1.0600
3.6886 1.8371 6.0051
Ir Os Al
1 2 1
direct
0.5000 0.5000 0.7401
0.0000 0.0000 0.0070
0.5000 0.5000 0.2503
0.0000 0.0000 0.5026
```

Values from the calculation:
Energy relative to the elements ... -22.44 kJ per mole of atoms

---

no.,E_tot (eV per cell)
1,-135.15
2,-35.59
3,-33.28
4,-35.47
5,-34.66
6,-74.06
7,-33.14
8,-35.99